Here is a relaxed structure of HPd from Alexandria via LeMat-Bulk. Energies are from PBE-GGA.

Relative energy among the computed polymorphs = 13 meV/atom

a b c (Å): 3.015 3.948 9.546
angles (deg): 90.00 90.00 90.00
Fractional positions:
Pd 0.500 0.256 0.669
Pd 0.500 0.252 0.000
Pd 0.000 0.744 0.831
Pd 0.000 0.748 0.500
H 0.500 0.012 0.838
H 0.000 0.516 0.000
H 0.000 0.988 0.338
H 0.500 0.484 0.500
H 0.500 0.012 0.162
Pd 0.500 0.256 0.331
Pd 0.000 0.744 0.169
H 0.000 0.988 0.662



Here is a relaxed structure of HPd2 from Alexandria via LeMat-Bulk. Energies are from PBE-GGA.

a b c (Å): 2.957 4.761 4.761
angles (deg): 90.00 90.00 90.00
Fractional positions:
Pd 0.500 0.286 0.714
H 0.500 0.000 0.000
Pd 0.000 0.786 0.786
Pd 0.000 0.214 0.214
H 0.000 0.500 0.500
Pd 0.500 0.714 0.286



Here is a relaxed structure of HPd from Alexandria via LeMat-Bulk. Energies are from PBE-GGA.

Relative energy among the computed polymorphs = 33 meV/atom

a b c (Å): 2.881 2.881 2.990
angles (deg): 120.35 120.35 84.90
Fractional positions:
Pd 0.624 0.527 0.370
H 0.996 0.898 0.223



Here is a relaxed structure of HPd from Alexandria via LeMat-Bulk. Energies are from PBE-GGA.

Relative energy among the computed polymorphs = 198 meV/atom

a b c (Å): 5.617 5.617 5.617
angles (deg): 90.00 90.00 90.00
Fractional positions:
H 0.362 0.638 0.362
H 0.638 0.638 0.638
Pd 0.685 0.685 0.315
H 0.638 0.362 0.362
H 0.138 0.862 0.862
Pd 0.315 0.685 0.685
H 0.362 0.362 0.638
Pd 0.815 0.815 0.815
Pd 0.185 0.815 0.185
Pd 0.815 0.185 0.185
Pd 0.685 0.315 0.685
H 0.862 0.138 0.862
H 0.138 0.138 0.138
Pd 0.315 0.315 0.315
H 0.862 0.862 0.138
Pd 0.185 0.185 0.815



Here is a relaxed structure of HPd from Alexandria via LeMat-Bulk. Energies are from PBE-GGA.

Relative energy among the computed polymorphs = 134 meV/atom

a b c (Å): 7.024 7.024 3.059
angles (deg): 90.00 90.00 120.00
Fractional positions:
H 0.368 0.963 0.750
H 0.595 0.632 0.750
H 0.632 0.037 0.250
Pd 0.597 0.890 0.750
Pd 0.293 0.403 0.750
Pd 0.403 0.110 0.250
Pd 0.707 0.597 0.250
Pd 0.110 0.707 0.750
H 0.963 0.595 0.250
H 0.405 0.368 0.250
H 0.037 0.405 0.750
Pd 0.890 0.293 0.250



Here is a relaxed structure of H4Pd from Alexandria via LeMat-Bulk. Energies are from PBE-GGA.

a b c (Å): 3.406 3.406 3.406
angles (deg): 90.00 90.00 90.00
Last column: magnetic moment on the atom in μB.
Fractional positions:
Pd 0.500 0.500 0.500  0.16
H 0.000 0.500 0.500  0.01
H 0.500 0.500 0.000  0.01
H 0.500 0.000 0.500  0.01
H 0.000 0.000 0.000  0.34



Here is a relaxed structure of H5Pd6 from Alexandria via LeMat-Bulk. Energies are from PBE-GGA.

a b c (Å): 5.023 5.041 5.015
angles (deg): 80.57 70.81 60.12
Fractional positions:
Pd 0.582 0.333 0.247
H 0.500 0.000 0.500
Pd 0.418 0.667 0.753
Pd 0.916 0.667 0.247
Pd 0.084 0.333 0.753
H 0.314 0.371 0.000
H 0.686 0.629 0.000
H 0.148 0.704 0.500
H 0.852 0.296 0.500
Pd 0.751 0.000 0.745
Pd 0.249 0.000 0.255



Here is a relaxed structure of H3Pd4 from Alexandria via LeMat-Bulk. Energies are from PBE-GGA.

Relative energy among the computed polymorphs = 0 meV/atom

a b c (Å): 2.913 5.187 4.992
angles (deg): 100.14 106.96 90.00
Fractional positions:
H 0.677 0.581 0.354
H 0.323 0.419 0.646
Pd 0.879 0.628 0.757
Pd 0.121 0.372 0.243
Pd 0.625 0.892 0.249
Pd 0.375 0.108 0.751
H 0.000 0.000 0.000



Here is a relaxed structure of HPd3 from Alexandria via LeMat-Bulk. Energies are from PBE-GGA.

Relative energy among the computed polymorphs = 0 meV/atom

a b c (Å): 2.749 4.788 7.825
angles (deg): 90.00 90.00 104.15
Fractional positions:
Pd 0.364 0.735 0.071
Pd 0.636 0.265 0.929
Pd 0.636 0.265 0.571
Pd 0.933 0.816 0.750
Pd 0.364 0.735 0.429
H 0.494 0.528 0.250
H 0.506 0.472 0.750
Pd 0.067 0.184 0.250



Here is a relaxed structure of HPd from Alexandria via LeMat-Bulk. Energies are from PBE-GGA.

Relative energy among the computed polymorphs = 100 meV/atom

a b c (Å): 2.844 7.938 5.645
angles (deg): 90.00 90.00 90.00
Fractional positions:
H 0.500 0.257 0.125
H 0.500 0.243 0.625
H 0.000 0.500 0.909
Pd 0.500 0.500 0.125
Pd 0.000 0.241 0.359
H 0.000 0.000 0.409
H 0.500 0.757 0.625
Pd 0.000 0.759 0.359
Pd 0.000 0.741 0.859
Pd 0.500 0.000 0.625
Pd 0.000 0.259 0.859
H 0.500 0.743 0.125



no.,total DFT energy (no corrections) (eV/atom)
1,-4.37
2,-4.63
3,-4.35
4,-4.19
5,-4.25
6,-3.12
7,-4.44
8,-4.49
9,-4.73
10,-4.28